Below is crystalline La5Sm4Cd4 at its relaxed geometry, with properties calculated at the PBE level.

```
La5Sm4Cd4
1.0
-6.2913 6.2913 2.6634
6.2913 -6.2913 2.6634
6.2913 6.2913 -2.6634
La Sm Cd
5 4 4
Direct
0.0000 0.0000 0.0000
0.3138 0.6098 0.9236
0.3902 0.3138 0.7041
0.6098 0.6862 0.2959
0.6862 0.3902 0.0764
0.0950 0.3932 0.4882
0.3932 0.9050 0.2981
0.6068 0.0950 0.7019
0.9050 0.6068 0.5118
0.0996 0.7605 0.8601
0.2395 0.0996 0.3391
0.7605 0.9004 0.6609
0.9004 0.2395 0.1399
```

Properties
ΔH_f (0 K)	-171	meV/atom
M_tot	0.00	μB/cell
V	421.7	Å³ per cell
crystal system	tetragonal
N(E_F)	1.144	states/eV/atom
DFT total energy	-3.800	eV/atom

***

Below is crystalline LaSm2Cd at its relaxed geometry, with properties calculated at the PBE level.

```
LaSm2Cd
1.0
3.7529 0.0000 0.0000
0.0000 3.7529 0.0000
0.0000 0.0000 8.9324
La Sm Cd
1 2 1
Direct
0.0000 0.0000 0.0000
0.5000 0.5000 0.2807
0.5000 0.5000 0.7193
0.0000 0.0000 0.5000
```

Properties
ΔH_f (0 K)	-149	meV/atom
ΔE to the lowest computed polymorph	0	meV per atom
M_tot	0.00	μB/cell
V	125.8	Å³ per cell
crystal system	tetragonal
N(E_F)	1.349	states/eV/atom
DFT total energy	-3.969	eV/atom